VASP calculation (PBE) on BiTeSe2N after structural relaxation.

Its total energy is -3.78 eV/atom. The value obtained for the uncorrected formation energy is 0.68 eV/atom. The crystal system is tetragonal. The calculation puts the energy above the most stable polymorph in this dataset at 0.000 eV per atom.

Lattice parameters (Å, degrees): 5.4980 5.4980 3.9690 90.00 90.00 90.00
Atoms (fractional coordinates):
Bi1 0.0000 0.0000 0.0000
Te1 0.5000 0.5000 0.5000
Se1 0.0000 0.5000 0.5000
Se2 0.5000 0.0000 0.5000
N1 0.5000 0.5000 0.0000


VASP calculation (PBE) on Th4Bi2SeN2 after structural relaxation.

Its total energy is -7.72 eV/atom. The value obtained for the uncorrected formation energy is -1.32 eV/atom. The crystal system is monoclinic.

Lattice parameters (Å, degrees): 8.1846 8.1846 7.6884 110.90 110.90 29.30
Atoms (fractional coordinates):
Th1 0.0336 0.0336 0.2551
Th2 0.2880 0.2880 0.3417
Th3 0.7120 0.7120 0.6583
Th4 0.9664 0.9664 0.7449
Bi1 0.3667 0.3667 0.9664
Bi2 0.6333 0.6333 0.0336
Se1 0.5000 0.5000 0.5000
N1 0.1785 0.1785 0.4833
N2 0.8215 0.8215 0.5167


VASP calculation (PBE) on TiBiSe2N after structural relaxation.

Its total energy is -5.67 eV/atom. The value obtained for the uncorrected formation energy is -0.25 eV/atom. The crystal system is tetragonal. The calculation puts the energy above the most stable polymorph in this dataset at 0.000 eV per atom.

Lattice parameters (Å, degrees): 5.2281 5.2281 3.7595 90.00 90.00 90.00
Atoms (fractional coordinates):
Ti1 0.0000 0.0000 0.0000
Bi1 0.5000 0.5000 0.5000
Se1 0.0000 0.5000 0.0000
Se2 0.5000 0.0000 0.0000
N1 0.0000 0.0000 0.5000


VASP calculation (PBE) on TiBiSe2N after structural relaxation.

Its total energy is -4.34 eV/atom. The value obtained for the uncorrected formation energy is 1.07 eV/atom. The crystal system is tetragonal. The calculation puts the energy above the most stable polymorph in this dataset at 1.325 eV per atom.

Lattice parameters (Å, degrees): 5.4526 5.4526 4.1774 90.00 90.00 90.00
Atoms (fractional coordinates):
Ti1 0.0000 0.0000 0.0000
Bi1 0.5000 0.5000 0.5000
Se1 0.0000 0.5000 0.5000
Se2 0.5000 0.0000 0.5000
N1 0.5000 0.5000 0.0000


no.,D(E_F) (states/eV/cell),total moment (μB/f.u.)
1,3.91,0.0
2,4.75,0.9
3,3.83,0.0
4,9.51,0.1